[1]
# PBE Ru2Pt8Rh, relaxed
# Crystal system: orthorhombic
# Spin magnetization, μB per formula unit: 0.004
# Total DFT energy (no corrections), eV per atom: -6.6589
data_Ru2Pt8Rh
_chemical_formula_sum 'Ru4 Pt16 Rh2'
_symmetry_space_group_name_H-M 'I m m m'
_symmetry_Int_Tables_number 71
_symmetry_space_group_name_Hall '-I 2 2'
_cell_length_a 3.921
_cell_length_b 7.718
_cell_length_c 11.570
_cell_angle_alpha 90.00
_cell_angle_beta 90.00
_cell_angle_gamma 90.00
loop_
_atom_site_label
_atom_site_fract_x
_atom_site_fract_y
_atom_site_fract_z
Ru1 0.000 0.000 0.170
Pt1 0.000 0.226 0.000
Pt2 0.000 0.261 0.340
Pt3 0.000 0.500 0.166
Rh1 0.000 0.000 0.500

---

[2]
# PBE InRhSe2, relaxed
# Uncorrected formation energy, meV per atom: -278
# Crystal system: orthorhombic
# Spin magnetization, μB per formula unit: 0.000
data_InRhSe2
_chemical_formula_sum 'In2 Rh2 Se4'
_symmetry_space_group_name_H-M 'A m m 2'
_symmetry_Int_Tables_number 38
_cell_length_a 3.903
_cell_length_b 5.255
_cell_length_c 8.701
_cell_angle_alpha 90.00
_cell_angle_beta 90.00
_cell_angle_gamma 90.00
loop_
_symmetry_equiv_pos_as_xyz
'x,y,z'
'-x,-y,z'
'-x,y,z'
'x,-y,z'
'x,y+1/2,z+1/2'
'-x,-y+1/2,z+1/2'
'-x,y+1/2,z+1/2'
'x,-y+1/2,z+1/2'
loop_
_atom_site_label
_atom_site_fract_x
_atom_site_fract_y
_atom_site_fract_z
In1 0.000 0.000 0.000
Rh1 0.500 0.000 0.239
Se1 0.000 0.000 0.401
Se2 0.500 0.000 0.773

---

[3]
# PBE Tm4GaCu3, relaxed
# Crystal system: trigonal
# Energy above the lowest structure with this stoichiometry, meV per atom: 0
# Spin magnetization, μB per formula unit: 0.000
data_Tm4GaCu3
_chemical_formula_sum 'Tm12 Ga3 Cu9'
_symmetry_space_group_name_H-M 'R -3 m'
_symmetry_Int_Tables_number 166
_symmetry_space_group_name_Hall '-R 3 2"'
_cell_length_a 4.8690
_cell_length_b 4.8690
_cell_length_c 23.9389
_cell_angle_alpha 90.00
_cell_angle_beta 90.00
_cell_angle_gamma 120.00
loop_
_atom_site_label
_atom_site_fract_x
_atom_site_fract_y
_atom_site_fract_z
Tm1 0.0000 0.0000 0.1221
Tm2 0.0000 0.0000 0.3726
Ga1 0.0000 0.0000 0.5000
Cu1 0.0000 0.0000 0.0000
Cu2 0.0000 0.0000 0.2476

---

[4]
# PBE La4SiSbN, relaxed
# Uncorrected formation energy, meV per atom: -935
# Crystal system: orthorhombic
# Spin magnetization, μB per formula unit: 0.853
data_La4SiSbN
_chemical_formula_sum 'La16 Si4 Sb4 N4'
_symmetry_space_group_name_H-M 'C m c m'
_symmetry_Int_Tables_number 63
_symmetry_space_group_name_Hall '-C 2c 2'
_cell_length_a 6.838
_cell_length_b 17.206
_cell_length_c 6.828
_cell_angle_alpha 90.00
_cell_angle_beta 90.00
_cell_angle_gamma 90.00
loop_
_atom_site_label
_atom_site_fract_x
_atom_site_fract_y
_atom_site_fract_z
La1 0.000 0.065 0.250
La2 0.000 0.417 0.250
La3 0.250 0.250 0.000
Si1 0.000 0.115 0.750
Sb1 0.000 0.391 0.750
N1 0.000 0.279 0.250

---

[5]
# PBE BeAlAg2Ge, relaxed
# Crystal system: tetragonal
# Spin magnetization, μB per formula unit: 0.000
# Total DFT energy (no corrections), eV per atom: -3.1370
data_BeAlAg2Ge
_chemical_formula_sum 'Be1 Al1 Ag2 Ge1'
_symmetry_space_group_name_H-M 'P 4/m m m'
_symmetry_Int_Tables_number 123
_symmetry_space_group_name_Hall '-P 4 2'
_cell_length_a 4.535
_cell_length_b 4.535
_cell_length_c 4.384
_cell_angle_alpha 90.00
_cell_angle_beta 90.00
_cell_angle_gamma 90.00
loop_
_atom_site_label
_atom_site_fract_x
_atom_site_fract_y
_atom_site_fract_z
Be1 0.000 0.000 0.000
Al1 0.000 0.000 0.500
Ag1 0.000 0.500 0.000
Ge1 0.500 0.500 0.500

---

[6]
# PBE La2NdSm6Ho, relaxed
# Crystal system: monoclinic
# Spin magnetization, μB per formula unit: 0.000
# Total DFT energy (no corrections), eV per atom: -4.6382
data_La2NdSm6Ho
_chemical_formula_sum 'La8 Nd4 Sm24 Ho4'
_symmetry_space_group_name_H-M 'C 1 2/c 1'
_symmetry_Int_Tables_number 15
_cell_length_a 9.175
_cell_length_b 15.230
_cell_length_c 10.047
_cell_angle_alpha 90.00
_cell_angle_beta 99.88
_cell_angle_gamma 90.00
loop_
_symmetry_equiv_pos_as_xyz
'x,y,z'
'-x,-y,-z'
'-x,y,-z+1/2'
'x,-y,z+1/2'
'x+1/2,y+1/2,z'
'-x+1/2,-y+1/2,-z'
'-x+1/2,y+1/2,-z+1/2'
'x+1/2,-y+1/2,z+1/2'
loop_
_atom_site_label
_atom_site_fract_x
_atom_site_fract_y
_atom_site_fract_z
La1 0.242 0.048 0.041
Nd1 0.000 0.012 0.750
Sm1 0.071 0.191 0.444
Sm2 0.098 0.396 0.620
Sm3 0.202 0.220 0.811
Ho1 0.000 0.406 0.250

---

[7]
# PBE Rb4CeO4, relaxed
# Uncorrected formation energy, meV per atom: -1870
# Crystal system: monoclinic
# Spin magnetization, μB per formula unit: 0.000
data_Rb4CeO4
_chemical_formula_sum 'Rb8 Ce2 O8'
_symmetry_space_group_name_H-M 'C 1 2/m 1'
_symmetry_Int_Tables_number 12
_cell_length_a 13.362
_cell_length_b 3.771
_cell_length_c 9.766
_cell_angle_alpha 90.00
_cell_angle_beta 121.25
_cell_angle_gamma 90.00
loop_
_symmetry_equiv_pos_as_xyz
'x,y,z'
'-x,-y,-z'
'-x,y,-z'
'x,-y,z'
'x+1/2,y+1/2,z'
'-x+1/2,-y+1/2,-z'
'-x+1/2,y+1/2,-z'
'x+1/2,-y+1/2,z'
loop_
_atom_site_label
_atom_site_fract_x
_atom_site_fract_y
_atom_site_fract_z
Rb1 0.111 0.000 0.385
Rb2 0.209 0.500 0.820
Ce1 0.000 0.500 0.000
O1 0.069 0.000 0.920
O2 0.163 0.500 0.240

---

[8]
# PBE SrGa2Si, relaxed
# Uncorrected formation energy, meV per atom: -138
# Crystal system: tetragonal
# Spin magnetization, μB per formula unit: 0.000
data_SrGa2Si
_chemical_formula_sum 'Sr4 Ga8 Si4'
_symmetry_space_group_name_H-M 'I 41/a m d'
_symmetry_Int_Tables_number 141
_cell_length_a 4.915
_cell_length_b 4.915
_cell_length_c 17.643
_cell_angle_alpha 90.00
_cell_angle_beta 90.00
_cell_angle_gamma 90.00
loop_
_symmetry_equiv_pos_as_xyz
'x,y,z'
'-x,-y,-z'
'-y+1/4,x+3/4,z+1/4'
'y+1/4,-x+3/4,-z+1/4'
'-x+1/2,-y,z+1/2'
'x+1/2,y,-z+1/2'
'y+1/4,-x+1/4,z+3/4'
'-y+1/4,x+1/4,-z+3/4'
'x,-y,-z'
'-x,y,z'
'-y+1/4,-x+1/4,-z+3/4'
'y+1/4,x+1/4,z+3/4'
'-x+1/2,y,-z+1/2'
'x+1/2,-y,z+1/2'
'y+1/4,x+3/4,-z+1/4'
'-y+1/4,-x+3/4,z+1/4'
'x+1/2,y+1/2,z+1/2'
'-x+1/2,-y+1/2,-z+1/2'
'-y+3/4,x+1/4,z+3/4'
'y+3/4,-x+1/4,-z+3/4'
'-x,-y+1/2,z'
'x,y+1/2,-z'
'y+3/4,-x+3/4,z+1/4'
'-y+3/4,x+3/4,-z+1/4'
'x+1/2,-y+1/2,-z+1/2'
'-x+1/2,y+1/2,z+1/2'
'-y+3/4,-x+3/4,-z+1/4'
'y+3/4,x+3/4,z+1/4'
'-x,y+1/2,-z'
'x,-y+1/2,z'
'y+3/4,x+1/4,-z+3/4'
'-y+3/4,-x+1/4,z+3/4'
loop_
_atom_site_label
_atom_site_fract_x
_atom_site_fract_y
_atom_site_fract_z
Sr1 0.000 0.250 0.375
Ga1 0.000 0.000 0.000
Si1 0.000 0.250 0.875

---

[9]
# PBE YTm5Mg4, relaxed
# Crystal system: tetragonal
# Spin magnetization, μB per formula unit: 0.000
# Total DFT energy (no corrections), eV per atom: -3.5551
data_YTm5Mg4
_chemical_formula_sum 'Y1 Tm5 Mg4'
_symmetry_space_group_name_H-M 'P 4/m m m'
_symmetry_Int_Tables_number 123
_symmetry_space_group_name_Hall '-P 4 2'
_cell_length_a 3.635
_cell_length_b 3.635
_cell_length_c 20.863
_cell_angle_alpha 90.00
_cell_angle_beta 90.00
_cell_angle_gamma 90.00
loop_
_atom_site_label
_atom_site_fract_x
_atom_site_fract_y
_atom_site_fract_z
Y1 0.000 0.000 0.000
Tm1 0.500 0.500 0.116
Tm2 0.500 0.500 0.312
Tm3 0.500 0.500 0.500
Mg1 0.000 0.000 0.215
Mg2 0.000 0.000 0.405

---

[10]
# PBE Cd2TeCl, relaxed
# Uncorrected formation energy, meV per atom: -54
# Crystal system: cubic
# Energy above the lowest structure with this stoichiometry, meV per atom: 413
# Spin magnetization, μB per formula unit: 0.000
data_Cd2TeCl
_chemical_formula_sum 'Cd8 Te4 Cl4'
_symmetry_space_group_name_H-M 'F -4 3 m'
_symmetry_Int_Tables_number 216
_symmetry_space_group_name_Hall 'F -4 2 3'
_cell_length_a 7.358
_cell_length_b 7.358
_cell_length_c 7.358
_cell_angle_alpha 90.00
_cell_angle_beta 90.00
_cell_angle_gamma 90.00
loop_
_atom_site_label
_atom_site_fract_x
_atom_site_fract_y
_atom_site_fract_z
Cd1 0.000 0.000 0.000
Cd2 0.250 0.250 0.250
Te1 0.250 0.250 0.750
Cl1 0.000 0.000 0.500

---

[11]
# PBE SrLa2W, relaxed
# Crystal system: tetragonal
# Energy above the lowest structure with this stoichiometry, meV per atom: 377
# Spin magnetization, μB per formula unit: 0.092
data_SrLa2W
_chemical_formula_sum 'Sr2 La4 W2'
_symmetry_space_group_name_H-M 'I -4 m 2'
_symmetry_Int_Tables_number 119
_symmetry_space_group_name_Hall 'I -4 -2'
_cell_length_a 4.896
_cell_length_b 4.896
_cell_length_c 9.734
_cell_angle_alpha 90.00
_cell_angle_beta 90.00
_cell_angle_gamma 90.00
loop_
_atom_site_label
_atom_site_fract_x
_atom_site_fract_y
_atom_site_fract_z
Sr1 0.000 0.000 0.000
La1 0.000 0.000 0.500
La2 0.000 0.500 0.250
W1 0.000 0.500 0.750